Computed, not measured: an optimized crystal structure of PuTlAgCl5 at the PBE level of DFT.

Cell: 7.6916 7.6916 10.3019 Å, 103.20 103.20 108.31°
Fractional positions:
Pu1 0.0000 0.0000 0.0000
Pu2 0.0000 0.0000 0.5000
Tl1 0.3476 0.6524 0.7500
Tl2 0.6524 0.3476 0.2500
Ag1 0.3098 0.6902 0.2500
Ag2 0.6902 0.3098 0.7500
Cl1 0.0767 0.9233 0.7500
Cl2 0.0850 0.6878 0.4009
Cl3 0.2585 0.3657 0.0641
Cl4 0.3122 0.9150 0.0991
Cl5 0.3657 0.2585 0.5641
Cl6 0.6343 0.7415 0.4359
Cl7 0.6878 0.0850 0.9009
Cl8 0.7415 0.6343 0.9359
Cl9 0.9150 0.3122 0.5991
Cl10 0.9233 0.0767 0.2500

Properties
- DOS(E_F): 9.6 states/eV/f.u.
- Formation energy (no corrections): -1.32 eV/atom
- M_tot: 10.0 μB/cell

***

Computed, not measured: an optimized crystal structure of Pu2TlAgCl8 at the PBE level of DFT.

Cell: 6.6942 8.5310 6.8406 Å, 90.00 95.25 90.00°
Fractional positions:
Pu1 0.0000 0.2429 0.0000
Pu2 0.0000 0.7571 0.0000
Tl1 0.5000 0.5000 0.5000
Ag1 0.5000 0.0000 0.5000
Cl1 0.2081 0.5000 0.8694
Cl2 0.2129 0.0000 0.8559
Cl3 0.2516 0.2199 0.3266
Cl4 0.2516 0.7801 0.3266
Cl5 0.7484 0.2199 0.6734
Cl6 0.7484 0.7801 0.6734
Cl7 0.7871 0.0000 0.1441
Cl8 0.7919 0.5000 0.1306

Properties
- DOS(E_F): 20.7 states/eV/f.u.
- Formation energy (no corrections): -1.50 eV/atom
- M_tot: 10.0 μB/cell

***

> Among the records above, which one has the highest DOS(E_F)?

Pu2TlAgCl8